Here is a relaxed GdFeCo crystal from Alexandria via LeMat-Bulk. Energies are from PBE.

Output
Density of states at the Fermi level = 1.89 states/eV per cell
Total DFT energy (no corrections) = -9.922 eV per atom

Cell: 3.8762 3.8762 4.1297 Å, 90.00 90.00 120.00°
Space group P-6m2 (No. 187)
Asymmetric unit:
Gd 0.0000 0.0000 0.0000 [1 per cell]
Fe 0.6667 0.3333 0.5000 [1 per cell]
Co 0.3333 0.6667 0.5000 [1 per cell]